No. 1
VASP calculation (PBE-GGA) on NdEr4Tm5 after structural relaxation.

Properties
As for the formation energy: 0.06 eV per atom. As for the theoretical density: 8.876 Mg/m³.

a = 3.5193 Å, b = 6.5894 Å, c = 13.9985 Å
α = 98.53°, β = 93.45°, γ = 103.84°
Element x y z (fractional)
Nd 0.0000 0.0000 0.0000
Er 0.1093 0.8085 0.2186
Er 0.2000 0.7290 0.8032
Er 0.8000 0.2710 0.1968
Er 0.8907 0.1915 0.7814
Tm 0.2061 0.8807 0.5835
Tm 0.4930 0.4268 0.6131
Tm 0.5000 0.5000 0.0000
Tm 0.5070 0.5732 0.3869
Tm 0.7939 0.1193 0.4165

=====

No. 2
VASP calculation (PBE-GGA) on Cs2In3Pb9 after structural relaxation.

Properties
As for the formation energy: -0.05 eV per atom. As for the theoretical density: 8.114 Mg/m³.

a = 9.4213 Å, b = 9.4213 Å, c = 14.3349 Å
α = 109.40°, β = 109.40°, γ = 59.52°
Element x y z (fractional)
Cs 0.0881 0.2496 0.2490
Cs 0.2496 0.0881 0.7490
Cs 0.7504 0.9119 0.2510
Cs 0.9119 0.7504 0.7510
In 0.0000 0.5000 0.0000
In 0.1412 0.6836 0.5043
In 0.3164 0.8588 0.9957
In 0.5000 0.0000 0.5000
In 0.6836 0.1412 0.0043
In 0.8588 0.3164 0.4957
Pb 0.0566 0.8253 0.0684
Pb 0.1747 0.9434 0.4316
Pb 0.2123 0.3602 0.5653
Pb 0.2213 0.5826 0.2476
Pb 0.3337 0.4774 0.9309
Pb 0.3602 0.2123 0.0653
Pb 0.3815 0.6185 0.7500
Pb 0.4174 0.7787 0.2524
Pb 0.4774 0.3337 0.4309
Pb 0.5226 0.6663 0.5691
Pb 0.5826 0.2213 0.7476
Pb 0.6185 0.3815 0.2500
Pb 0.6398 0.7877 0.9347
Pb 0.6663 0.5226 0.0691
Pb 0.7787 0.4174 0.7524
Pb 0.7877 0.6398 0.4347
Pb 0.8253 0.0566 0.5684
Pb 0.9434 0.1747 0.9316

=====

No. 3
VASP calculation (PBE-GGA) on MgTc2Mo after structural relaxation.

Properties
As for the formation energy: 0.23 eV per atom. As for the theoretical density: 8.330 Mg/m³.

a = 2.7124 Å, b = 2.7124 Å, c = 9.1686 Å
α = 90.00°, β = 90.00°, γ = 110.83°
Element x y z (fractional)
Mg 0.0000 0.0000 0.0000
Tc 0.0000 0.0000 0.4918
Tc 0.5000 0.5000 0.2566
Mo 0.5000 0.5000 0.7324

=====

No. 4
VASP calculation (PBE-GGA) on YHgRh2 after structural relaxation.

Properties
As for the formation energy: -0.38 eV per atom. As for the theoretical density: 10.172 Mg/m³.

a = 5.2966 Å, b = 5.2966 Å, c = 5.2966 Å
α = 50.24°, β = 50.24°, γ = 50.24°
Element x y z (fractional)
Y 0.0000 0.0000 0.0000
Hg 0.7808 0.7808 0.7808
Rh 0.2097 0.2097 0.2097
Rh 0.5569 0.5569 0.5569

=====

No. 5
VASP calculation (PBE-GGA) on SrCaZn2Pd after structural relaxation.

Properties
As for the formation energy: -0.24 eV per atom. As for the theoretical density: 4.524 Mg/m³.

a = 5.0827 Å, b = 5.0827 Å, c = 5.1855 Å
α = 90.00°, β = 90.00°, γ = 90.00°
Element x y z (fractional)
Sr 0.0000 0.0000 0.0000
Ca 0.5000 0.5000 0.0000
Zn 0.0000 0.5000 0.5000
Zn 0.5000 0.0000 0.5000
Pd 0.5000 0.5000 0.5000

=====

No. 6
VASP calculation (PBE-GGA) on TeHSI2 after structural relaxation.

Properties
The calculation puts the total energy at -9.60 eV/cell. As for the theoretical density: 4.081 Mg/m³.

a = 5.6362 Å, b = 5.6362 Å, c = 5.3091 Å
α = 90.00°, β = 90.00°, γ = 90.00°
Element x y z (fractional)
Te 0.0000 0.0000 0.0000
H 0.5000 0.5000 0.0000
S 0.0000 0.0000 0.5000
I 0.0000 0.5000 0.5000
I 0.5000 0.0000 0.5000

=====

No. 7
VASP calculation (PBE-GGA) on NdTmMgTi after structural relaxation.

Properties
As for the formation energy: 0.15 eV per atom. As for the theoretical density: 6.135 Mg/m³.

a = 5.2835 Å, b = 5.2835 Å, c = 5.2835 Å
α = 60.00°, β = 60.00°, γ = 60.00°
Element x y z (fractional)
Nd 0.0000 0.0000 0.0000
Tm 0.5000 0.5000 0.5000
Mg 0.2500 0.2500 0.2500
Ti 0.7500 0.7500 0.7500

=====

No. 8
VASP calculation (PBE-GGA) on K2GaBiI6 after structural relaxation.

Properties
The calculation puts the total energy at -26.84 eV/cell. As for the theoretical density: 4.016 Mg/m³.

a = 8.8120 Å, b = 8.8120 Å, c = 8.8120 Å
α = 58.07°, β = 58.07°, γ = 58.07°
Element x y z (fractional)
K 0.0000 0.0000 0.0000
K 0.4939 0.4939 0.4939
Ga 0.2078 0.2078 0.2078
Bi 0.7033 0.7033 0.7033
I 0.0432 0.4532 0.8514
I 0.3573 0.9351 0.5597
I 0.4532 0.8514 0.0432
I 0.5597 0.3573 0.9351
I 0.8514 0.0432 0.4532
I 0.9351 0.5597 0.3573

=====

No. 9
VASP calculation (PBE-GGA) on Li2TlHg2 after structural relaxation.

Properties
As for the formation energy: -0.23 eV per atom. As for the theoretical density: 9.525 Mg/m³.

a = 9.9428 Å, b = 9.9428 Å, c = 3.2773 Å
α = 90.00°, β = 90.00°, γ = 160.53°
Element x y z (fractional)
Li 0.1005 0.8995 0.0000
Li 0.8995 0.1005 0.0000
Tl 0.5000 0.5000 0.5000
Hg 0.3154 0.6846 0.5000
Hg 0.6846 0.3154 0.5000

=====

No. 10
VASP calculation (PBE-GGA) on Nd5Bi5N after structural relaxation.

Properties
The calculation puts the total energy at -58.79 eV/cell. As for the theoretical density: 8.416 Mg/m³.

a = 7.3008 Å, b = 7.3008 Å, c = 9.5862 Å
α = 114.76°, β = 114.76°, γ = 50.88°
Element x y z (fractional)
Nd 0.0000 0.0000 0.0000
Nd 0.3416 0.3416 0.7242
Nd 0.3552 0.3552 0.1087
Nd 0.6448 0.6448 0.8913
Nd 0.6584 0.6584 0.2758
Bi 0.1117 0.1117 0.7689
Bi 0.2208 0.2208 0.3380
Bi 0.5000 0.5000 0.5000
Bi 0.7792 0.7792 0.6620
Bi 0.8883 0.8883 0.2311
N 0.5000 0.5000 0.0000

=====

No. 11
VASP calculation (PBE-GGA) on MgTl6Hg10 after structural relaxation.

Properties
As for the formation energy: 0.00 eV per atom. As for the theoretical density: 11.112 Mg/m³.

a = 9.2240 Å, b = 9.2240 Å, c = 6.6044 Å
α = 90.00°, β = 90.00°, γ = 120.00°
Element x y z (fractional)
Mg 0.0000 0.0000 0.0000
Tl 0.0000 0.3957 0.7636
Tl 0.0000 0.6043 0.2364
Tl 0.3957 0.0000 0.7636
Tl 0.3957 0.3957 0.2364
Tl 0.6043 0.0000 0.2364
Tl 0.6043 0.6043 0.7636
Hg 0.0000 0.2430 0.2962
Hg 0.0000 0.7570 0.7038
Hg 0.2430 0.0000 0.2962
Hg 0.2430 0.2430 0.7038
Hg 0.3333 0.6667 0.0000
Hg 0.3333 0.6667 0.5000
Hg 0.6667 0.3333 0.0000
Hg 0.6667 0.3333 0.5000
Hg 0.7570 0.0000 0.7038
Hg 0.7570 0.7570 0.2962

=====

No. 12
VASP calculation (PBE-GGA) on MnNiAg after structural relaxation.

Properties
As for the formation energy: 0.24 eV per atom. As for the theoretical density: 8.411 Mg/m³.

a = 2.7899 Å, b = 2.7899 Å, c = 12.9730 Å
α = 90.05°, β = 90.05°, γ = 60.01°
Element x y z (fractional)
Mn 0.0000 0.0000 0.0000
Mn 0.6687 0.6687 0.4407
Ni 0.0016 0.0016 0.2942
Ni 0.3343 0.3343 0.1442
Ag 0.0018 0.0018 0.6229
Ag 0.6663 0.6663 0.8193